Co3TcO PBE+U optimized geometry; DFT total energy = -4.132 eV per atom; relative energy among the computed polymorphs = 1.574 eV per atom
1.0
4.5817 0.0000 0.0000
0.0000 4.5817 0.0000
0.0000 0.0000 4.5817
Co Tc O
3 1 1
Direct
0.5000 0.0000 0.0000 Co
0.0000 0.0000 0.5000 Co
0.0000 0.5000 0.0000 Co
0.0000 0.0000 0.0000 Tc
0.5000 0.5000 0.5000 O